This record from the Alexandria database describes a geometry-optimized PaZn2Pb structure. The functional is PBE-GGA.

a b c (Å): 3.553 3.553 7.121
angles (deg): 90.00 90.00 90.00
Space group P4/mmm (No. 123)
Symmetry-distinct sites (fractional):
Pa 0.000 0.000 0.000
Zn 0.500 0.500 0.251
Pb 0.000 0.000 0.500

Values from the calculation:
total energy	-3.797	eV per atom
excess energy over the best structure of this formula in the dataset	0.110	eV/atom
formation energy	0.141	eV/atom